Entry from Alexandria via LeMat-Bulk: crystalline SrFe2Pt at its relaxed geometry (PBE).

Lattice parameters (Å, degrees): 5.6339 5.6339 5.6339 149.33 127.42 62.10
Fractional coordinates of all 4 atoms:
Sr 0.0000 0.0000 0.0000
Fe 0.2911 0.7911 0.5000
Fe 0.4848 0.4848 0.0000
Pt 0.7124 0.2124 0.5000

The total magnetic moment comes out at 5.47 μB per cell. As for the space group: Imm2, No. 44. The value obtained for the calculated formation energy is 0.31 eV/atom. The density of states at the Fermi level is 2.74 states/eV/f.u.



Entry from Alexandria via LeMat-Bulk: crystalline TaFe2Pt at its relaxed geometry (PBE).

Lattice parameters (Å, degrees): 2.7100 2.7100 7.9535 90.00 90.00 96.02
Fractional coordinates of all 4 atoms:
Ta 0.0000 0.0000 0.0000
Fe 0.5000 0.5000 0.2612
Fe 0.5000 0.5000 0.7388
Pt 0.0000 0.0000 0.5000

The value obtained for the energy above the most stable polymorph in this dataset is 279.5 meV/atom. The total magnetic moment comes out at 5.02 μB per cell. As for the space group: Cmmm, No. 65. The value obtained for the calculated formation energy is -0.05 eV/atom. The density of states at the Fermi level is 3.53 states/eV/f.u.



Entry from Alexandria via LeMat-Bulk: crystalline Ta4FePt at its relaxed geometry (PBE).

Lattice parameters (Å, degrees): 5.3347 5.3347 5.3347 60.00 60.00 60.00
Fractional coordinates of all 6 atoms:
Ta 0.1243 0.1243 0.1243
Ta 0.1243 0.1243 0.6272
Ta 0.1243 0.6272 0.1243
Ta 0.6272 0.1243 0.1243
Fe 0.7500 0.7500 0.7500
Pt 0.5000 0.5000 0.5000

The value obtained for the energy above the most stable polymorph in this dataset is 696.3 meV/atom. The total magnetic moment comes out at 2.23 μB per cell. As for the space group: F-43m, No. 216. The value obtained for the calculated formation energy is 0.39 eV/atom. The density of states at the Fermi level is 7.34 states/eV/f.u.



Entry from Alexandria via LeMat-Bulk: crystalline TaFe2Pt5 at its relaxed geometry (PBE).

Lattice parameters (Å, degrees): 5.4779 9.9148 4.6449 90.00 90.00 90.00
Fractional coordinates of all 16 atoms:
Ta 0.0000 0.0000 0.0000
Ta 0.5000 0.5000 0.0000
Fe 0.1531 0.3553 0.5000
Fe 0.3469 0.8553 0.5000
Fe 0.6531 0.1447 0.5000
Fe 0.8469 0.6447 0.5000
Pt 0.0000 0.5000 0.0000
Pt 0.1826 0.0966 0.5000
Pt 0.2339 0.7555 0.0000
Pt 0.2661 0.2555 0.0000
Pt 0.3174 0.5966 0.5000
Pt 0.5000 0.0000 0.0000
Pt 0.6826 0.4034 0.5000
Pt 0.7339 0.7445 0.0000
Pt 0.7661 0.2445 0.0000
Pt 0.8174 0.9034 0.5000

The total magnetic moment comes out at 14.60 μB per cell. As for the space group: Pbam, No. 55. The value obtained for the calculated formation energy is -0.27 eV/atom. The density of states at the Fermi level is 6.59 states/eV/f.u.



Entry from Alexandria via LeMat-Bulk: crystalline TaFePt at its relaxed geometry (PBE).

Lattice parameters (Å, degrees): 3.8881 3.8881 6.1871 100.44 100.44 89.62
Fractional coordinates of all 6 atoms:
Ta 0.0922 0.0922 0.2864
Ta 0.9078 0.9078 0.7136
Fe 0.0000 0.5000 0.0000
Fe 0.5000 0.0000 0.0000
Pt 0.4045 0.4045 0.6993
Pt 0.5955 0.5955 0.3007

The value obtained for the energy above the most stable polymorph in this dataset is 23.4 meV/atom. The total magnetic moment comes out at 1.14 μB per cell. As for the space group: C2/m, No. 12. The value obtained for the calculated formation energy is -0.32 eV/atom. The density of states at the Fermi level is 2.11 states/eV/f.u.



Entry from Alexandria via LeMat-Bulk: crystalline TaFePt at its relaxed geometry (PBE).

Lattice parameters (Å, degrees): 4.3841 4.3841 2.7318 90.00 90.00 120.00
Fractional coordinates of all 3 atoms:
Ta 0.0000 0.0000 0.0000
Fe 0.6667 0.3333 0.2921
Pt 0.3333 0.6667 0.5747

The value obtained for the energy above the most stable polymorph in this dataset is 123.6 meV/atom. The total magnetic moment comes out at 2.13 μB per cell. As for the space group: P3m1, No. 156. The value obtained for the calculated formation energy is -0.22 eV/atom. The density of states at the Fermi level is 2.77 states/eV/f.u.



Entry from Alexandria via LeMat-Bulk: crystalline TaFe2Pt at its relaxed geometry (PBE).

Lattice parameters (Å, degrees): 3.8575 3.8575 3.7111 90.00 90.00 90.00
Fractional coordinates of all 4 atoms:
Ta 0.0000 0.0000 0.0000
Fe 0.0000 0.5000 0.5000
Fe 0.5000 0.0000 0.5000
Pt 0.5000 0.5000 0.0000

The value obtained for the energy above the most stable polymorph in this dataset is 0.0 meV/atom. The total magnetic moment comes out at 2.80 μB per cell. As for the space group: P4/mmm, No. 123. The value obtained for the calculated formation energy is -0.33 eV/atom. The density of states at the Fermi level is 3.26 states/eV/f.u.



Entry from Alexandria via LeMat-Bulk: crystalline Ta4FePt at its relaxed geometry (PBE).

Lattice parameters (Å, degrees): 6.2516 6.2516 5.1600 90.00 90.00 90.00
Fractional coordinates of all 12 atoms:
Ta 0.1463 0.3279 0.0000
Ta 0.1463 0.6721 0.5000
Ta 0.3279 0.1463 0.5000
Ta 0.3279 0.8537 0.0000
Ta 0.6721 0.1463 0.0000
Ta 0.6721 0.8537 0.5000
Ta 0.8537 0.3279 0.5000
Ta 0.8537 0.6721 0.0000
Fe 0.0000 0.0000 0.2500
Fe 0.0000 0.0000 0.7500
Pt 0.5000 0.5000 0.2500
Pt 0.5000 0.5000 0.7500

The value obtained for the energy above the most stable polymorph in this dataset is 0.0 meV/atom. The total magnetic moment comes out at 0.00 μB per cell. As for the space group: P4/mcc, No. 124. The value obtained for the calculated formation energy is -0.30 eV/atom. The density of states at the Fermi level is 5.57 states/eV/f.u.



Entry from Alexandria via LeMat-Bulk: crystalline TaFe2Pt at its relaxed geometry (PBE).

Lattice parameters (Å, degrees): 4.7160 4.7160 4.7160 132.19 132.19 69.93
Fractional coordinates of all 4 atoms:
Ta 0.0000 0.0000 0.0000
Fe 0.2500 0.7500 0.5000
Fe 0.7500 0.2500 0.5000
Pt 0.5000 0.5000 0.0000

The value obtained for the energy above the most stable polymorph in this dataset is 66.8 meV/atom. The total magnetic moment comes out at 3.76 μB per cell. As for the space group: I4/mmm, No. 139. The value obtained for the calculated formation energy is -0.26 eV/atom. The density of states at the Fermi level is 3.40 states/eV/f.u.



Entry from Alexandria via LeMat-Bulk: crystalline TaFePt4 at its relaxed geometry (PBE).

Lattice parameters (Å, degrees): 5.5740 6.8421 5.5441 90.00 90.00 90.00
Fractional coordinates of all 12 atoms:
Ta 0.2500 0.0000 0.1939
Ta 0.7500 0.0000 0.8061
Fe 0.2500 0.5000 0.6925
Fe 0.7500 0.5000 0.3075
Pt 0.0000 0.2253 0.5000
Pt 0.0000 0.2857 0.0000
Pt 0.0000 0.7143 0.0000
Pt 0.0000 0.7747 0.5000
Pt 0.5000 0.2253 0.5000
Pt 0.5000 0.2857 0.0000
Pt 0.5000 0.7143 0.0000
Pt 0.5000 0.7747 0.5000

The value obtained for the energy above the most stable polymorph in this dataset is 0.0 meV/atom. The total magnetic moment comes out at 7.72 μB per cell. As for the space group: Pmma, No. 51. The value obtained for the calculated formation energy is -0.31 eV/atom. The density of states at the Fermi level is 3.47 states/eV/f.u.



Entry from Alexandria via LeMat-Bulk: crystalline TaFePt3 at its relaxed geometry (PBE).

Lattice parameters (Å, degrees): 4.1807 5.3673 7.4479 90.00 90.00 90.00
Fractional coordinates of all 10 atoms:
Ta 0.2500 0.2500 0.0703
Ta 0.7500 0.7500 0.9297
Fe 0.2500 0.7500 0.3649
Fe 0.7500 0.2500 0.6351
Pt 0.2500 0.2500 0.4339
Pt 0.2500 0.5045 0.7726
Pt 0.2500 0.9955 0.7726
Pt 0.7500 0.0045 0.2274
Pt 0.7500 0.4955 0.2274
Pt 0.7500 0.7500 0.5661

The value obtained for the energy above the most stable polymorph in this dataset is 221.5 meV/atom. The total magnetic moment comes out at 7.20 μB per cell. As for the space group: Pmmn, No. 59. The value obtained for the calculated formation energy is -0.31 eV/atom. The density of states at the Fermi level is 3.41 states/eV/f.u.



Entry from Alexandria via LeMat-Bulk: crystalline TaFe2Pt at its relaxed geometry (PBE).

Lattice parameters (Å, degrees): 4.6857 4.6857 4.8105 99.55 99.55 33.88
Fractional coordinates of all 4 atoms:
Ta 0.0000 0.0000 0.0000
Fe 0.2445 0.2445 0.7474
Fe 0.7555 0.7555 0.2526
Pt 0.5000 0.5000 0.5000

The value obtained for the energy above the most stable polymorph in this dataset is 202.9 meV/atom. The total magnetic moment comes out at 4.67 μB per cell. As for the space group: C2/m, No. 12. The value obtained for the calculated formation energy is -0.12 eV/atom. The density of states at the Fermi level is 4.35 states/eV/f.u.